No. 1
Ca3Ac2Mg2: optimized geometry, GGA-PBE.

Cell and atoms, written as POSCAR:
```
Ca3Ac2Mg2
1.0
1.9576 -17.2937 0.0000
1.9576 17.2937 0.0000
0.0000 0.0000 3.9143
Ca Ac Mg
3 2 2
Cartesian
0.0000 0.0000 0.0000 Ca
1.9576 2.7632 1.9572 Ca
1.9576 -2.7632 1.9572 Ca
1.9576 6.9698 1.9572 Ac
1.9576 -6.9698 1.9572 Ac
1.9576 12.5669 0.0000 Mg
1.9576 -12.5669 0.0000 Mg
```

Results
- formation energy from the elements (eV per atom) = 0.029
- size of the total moment (μB/cell) = 0.00

=====

No. 2
CaAc3Mg4: optimized geometry, GGA-PBE.

Cell and atoms, written as POSCAR:
```
CaAc3Mg4
1.0
-2.8962 2.8962 8.1230
2.8962 -2.8962 8.1230
2.8962 2.8962 -8.1230
Ca Ac Mg
1 3 4
Cartesian
0.0000 0.0000 0.0000 Ca
0.0000 0.0000 4.0231 Ac
0.0000 0.0000 8.1230 Ac
0.0000 0.0000 12.2229 Ac
2.8962 0.0000 1.9665 Mg
2.8962 0.0000 6.1564 Mg
0.0000 2.8962 1.9665 Mg
0.0000 2.8962 6.1564 Mg
```

Results
- formation energy from the elements (eV per atom) = -0.080
- size of the total moment (μB/cell) = 0.00

=====

No. 3
Ca2AcMg2: optimized geometry, GGA-PBE.

Cell and atoms, written as POSCAR:
```
Ca2AcMg2
1.0
6.0988 0.0000 0.0000
0.0000 3.7615 0.0000
-1.2225 0.0000 15.5566
Ca Ac Mg
4 2 4
Cartesian
0.9188 0.9404 1.9110 Ca
0.9130 2.8211 8.2711 Ca
3.9633 0.9404 7.2854 Ca
3.9575 2.8211 13.6456 Ca
0.9185 0.9404 11.7056 Ac
3.9578 2.8211 3.8509 Ac
0.9156 0.9404 5.3100 Mg
0.8804 2.8211 14.7986 Mg
3.9959 0.9404 0.7580 Mg
3.9607 2.8211 10.2465 Mg
```

Results
- formation energy from the elements (eV per atom) = 0.021
- offset from the most stable computed form (meV per atom) = 58
- size of the total moment (μB/cell) = 0.00

=====

No. 4
CaAcMg: optimized geometry, GGA-PBE.

Cell and atoms, written as POSCAR:
```
CaAcMg
1.0
-1.9997 1.9997 6.8724
1.9997 -1.9997 6.8724
1.9997 1.9997 -6.8724
Ca Ac Mg
1 1 1
Cartesian
0.0000 0.0000 0.0000 Ca
0.0000 0.0000 4.0436 Ac
0.0000 0.0000 8.7648 Mg
```

Results
- formation energy from the elements (eV per atom) = -0.022
- offset from the most stable computed form (meV per atom) = 25
- size of the total moment (μB/cell) = 0.00

=====

No. 5
Ca3Ac2Mg4: optimized geometry, GGA-PBE.

Cell and atoms, written as POSCAR:
```
Ca3Ac2Mg4
1.0
4.9790 -2.8754 0.0000
4.9790 2.8754 0.0000
-0.0115 0.0000 10.8392
Ca Ac Mg
3 2 4
Cartesian
0.0000 0.0000 0.0000 Ca
3.3088 0.0000 6.2704 Ca
6.6377 0.0000 4.5687 Ca
3.3197 0.0000 2.2973 Ac
6.6269 0.0000 8.5419 Ac
0.0008 0.0000 3.7832 Mg
9.9457 0.0000 7.0560 Mg
3.3068 0.0000 9.7217 Mg
6.6397 0.0000 1.1175 Mg
```

Results
- formation energy from the elements (eV per atom) = -0.043
- offset from the most stable computed form (meV per atom) = 0
- size of the total moment (μB/cell) = 0.00

=====

No. 6
CaAcMg17: optimized geometry, GGA-PBE.

Cell and atoms, written as POSCAR:
```
CaAcMg17
1.0
5.2164 3.0117 5.1193
-5.2164 3.0117 5.1193
0.0000 -6.0234 5.1193
Ca Ac Mg
1 1 17
Cartesian
0.0000 0.0000 0.0000 Ca
0.0000 0.0000 5.0497 Ac
0.0000 -3.0018 2.7518 Mg
-2.5996 1.5009 2.7518 Mg
-2.5660 -1.4815 7.6096 Mg
0.0000 -3.1017 7.4322 Mg
-2.6861 1.5508 7.4322 Mg
-1.5717 -2.6888 10.1995 Mg
-3.1144 -0.0167 10.1995 Mg
2.5996 1.5009 2.7518 Mg
0.0000 0.0000 8.7004 Mg
2.5660 -1.4815 7.6097 Mg
0.0000 2.9629 7.6097 Mg
1.5717 -2.6888 10.1995 Mg
-1.5427 2.7055 10.1995 Mg
0.0000 0.0000 11.7450 Mg
2.6861 1.5508 7.4323 Mg
3.1144 -0.0167 10.1995 Mg
1.5427 2.7055 10.1995 Mg
```

Results
- formation energy from the elements (eV per atom) = -0.057
- size of the total moment (μB/cell) = 0.00